# UMnBiO6, relaxed, DFT PBE+U
data_UMnBiO6
_chemical_formula_sum 'U2 Mn2 Bi2 O12'
_space_group_name_H-M_alt 'P -3 1 c'
_space_group_IT_number 163
_space_group_name_Hall '-P 3 2c'
_cell_length_a 5.4688
_cell_length_b 5.4688
_cell_length_c 9.9936
_cell_angle_alpha 90.00
_cell_angle_beta 90.00
_cell_angle_gamma 120.00
loop_
_atom_site_label
_atom_site_type_symbol
_atom_site_fract_x
_atom_site_fract_y
_atom_site_fract_z
_atom_site_occupancy
U1 U 0.3333 0.6667 0.2500 1
Mn1 Mn 0.3333 0.6667 0.7500 1
Bi1 Bi 0.0000 0.0000 0.0000 1
O1 O 0.0033 0.3572 0.6392 1
# - total moment (μB per formula unit) = 4.000
# - N(E_F) (states/eV per atom) = 0.504
# - VASP energy (eV per atom) = -7.938